1.
Density functional theory data (PBE) for a geometry-optimized EuLuTl2 structure.

abc: 3.8466 3.8466 7.7322
angles: 90.00 90.00 90.00
Last column: magnetic moment on the atom in μB.
Fractional coordinates of all 4 atoms:
1 Eu 0.5000 0.5000 0.5000  6.90
2 Tl 0.0000 0.0000 0.7716  0.00
3 Tl 0.0000 0.0000 0.2284  0.00
4 Lu 0.5000 0.5000 0.0000  0.00

Properties
Energy of formation (meV per atom): -361

---

2.
Density functional theory data (PBE) for a geometry-optimized LiTbSb structure.

abc: 4.9175 4.9175 4.9175
angles: 60.00 60.00 60.00
Fractional coordinates of all 3 atoms:
1 Sb 0.2500 0.2500 0.2500
2 Tb 0.0000 0.0000 0.0000
3 Li 0.5000 0.5000 0.5000

Properties
Formation energy (no corrections) (eV per atom): -0.6273

---

3.
Density functional theory data (PBE) for a geometry-optimized Ba4P2H structure.

abc: 5.0740 5.0740 9.4041
angles: 105.65 105.65 90.00
Fractional coordinates of all 7 atoms:
1 P 0.6305 0.6305 0.2609
2 P 0.3695 0.3695 0.7391
3 Ba 0.8131 0.8131 0.6263
4 Ba 0.1869 0.1869 0.3737
5 Ba 0.0000 0.5000 0.0000
6 Ba 0.5000 0.0000 0.0000
7 H 0.0000 0.0000 0.0000

---

Number 1: E above lowest polymorph 0.000 eV/atom, DFT total energy -21.0 eV per formula unit. Number 2: E above lowest polymorph 0.191 eV/atom, DFT total energy -12.5 eV per formula unit. Number 3: E above lowest polymorph 0.051 eV/atom, DFT total energy -27.0 eV per formula unit.